Entry from Alexandria: crystalline LiAl2Co at its relaxed geometry (PBE).

extended XYZ file:
```
4
Lattice="4.401 0.017 -0.011 3.538 2.619 -0.011 0.806 0.268 4.788" Properties=species:S:1:pos:R:3 pbc="T T T"
Al 4.255 1.413 2.502
Al 0.924 0.307 4.669
Co 6.559 2.178 3.574
Li 2.186 0.726 1.191
```

Output
The value obtained for the total energy is -17.075 eV per cell. The value obtained for the total moment is 0.4 μB per cell.

Entry from Alexandria: crystalline LiAl2Co at its relaxed geometry (PBE).

extended XYZ file:
```
4
Lattice="3.088 0.000 0.000 0.000 3.106 0.000 0.000 0.000 5.562" Properties=species:S:1:pos:R:3 pbc="T T T"
Co 0.000 0.000 2.717
Al 0.000 0.000 5.475
Al 1.544 1.553 1.624
Li 1.544 1.553 4.088
```

Output
The value obtained for the total energy is -17.025 eV per cell. The value obtained for the total moment is 0.5 μB per cell.

Entry from Alexandria: crystalline LiAl5Co4 at its relaxed geometry (PBE).

extended XYZ file:
```
10
Lattice="-0.718 0.612 2.712 -0.799 -2.728 0.404 13.712 -3.367 4.389" Properties=species:S:1:pos:R:3 pbc="T T T"
Li 0.000 0.000 0.000
Al 8.736 -3.389 4.596
Al 0.846 -1.452 2.071
Al 11.349 -4.031 5.433
Al 3.459 -2.094 2.908
Al 6.097 -2.741 3.752
Co 5.538 -1.360 1.772
Co 2.878 -0.707 0.921
Co 10.834 -2.660 3.468
Co 8.174 -2.007 2.616
```

Output
The value obtained for the total energy is -54.104 eV per cell. The value obtained for the total moment is 0.4 μB per cell.

Entry from Alexandria: crystalline LiAl2Co2 at its relaxed geometry (PBE).

extended XYZ file:
```
10
Lattice="6.892 0.000 0.000 0.000 6.892 0.000 0.000 0.000 2.722" Properties=species:S:1:pos:R:3 pbc="T T T"
Co 1.059 4.505 1.361
Co 4.505 5.833 1.361
Co 2.387 1.059 1.361
Co 5.833 2.387 1.361
Li 0.000 0.000 0.000
Li 3.446 3.446 0.000
Al 2.471 5.917 0.000
Al 4.421 0.975 0.000
Al 0.975 2.471 0.000
Al 5.917 4.421 0.000
```

Output
The value obtained for the total energy is -50.335 eV per cell. The value obtained for the total moment is 0.0 μB per cell. As for the relative energy among the computed polymorphs: 0.02 eV/f.u.

Entry from Alexandria: crystalline Li2AlCo at its relaxed geometry (PBE).

extended XYZ file:
```
4
Lattice="-2.618 2.458 -3.458 -1.395 -4.543 1.508 -1.443 1.055 1.843" Properties=species:S:1:pos:R:3 pbc="T T T"
Li 0.000 0.000 0.000
Li -2.007 -1.042 -0.975
Al -2.031 1.757 -0.808
Co -1.419 -1.744 1.675
```

Output
The value obtained for the total energy is -14.427 eV per cell. The value obtained for the total moment is 1.3 μB per cell.

Entry from Alexandria: crystalline Li2AlCo2 at its relaxed geometry (PBE).

extended XYZ file:
```
10
Lattice="5.969 0.000 0.000 0.000 5.969 0.000 0.000 0.000 3.921" Properties=species:S:1:pos:R:3 pbc="T T T"
Co 3.754 0.770 0.000
Co 5.199 3.754 0.000
Co 0.770 2.214 0.000
Co 2.214 5.199 0.000
Li 1.985 0.999 1.960
Li 3.984 4.969 1.960
Li 4.969 1.985 1.960
Li 0.999 3.984 1.960
Al 0.000 0.000 0.000
Al 2.984 2.984 0.000
```

Output
The value obtained for the total energy is -42.092 eV per cell. The value obtained for the total moment is 2.8 μB per cell.

Entry from Alexandria: crystalline Li2AlCo at its relaxed geometry (PBE).

extended XYZ file:
```
8
Lattice="-0.490 -3.311 0.694 3.196 -0.223 1.191 -1.724 0.510 9.628" Properties=species:S:1:pos:R:3 pbc="T T T"
Li -0.343 -2.006 2.997
Li 1.511 -0.389 3.230
Li -0.314 -0.940 7.914
Li 1.111 -2.712 8.883
Co 0.000 0.000 0.000
Co -0.430 -2.284 5.632
Al 1.353 -1.767 0.943
Al 1.413 -0.740 5.880
```

Output
The value obtained for the total energy is -28.442 eV per cell. The value obtained for the total moment is 0.6 μB per cell.

Entry from Alexandria: crystalline LiAlCo at its relaxed geometry (PBE).

extended XYZ file:
```
3
Lattice="-4.454 -0.487 -0.423 -2.156 -3.030 2.534 2.614 3.663 -0.046" Properties=species:S:1:pos:R:3 pbc="T T T"
Co -2.267 -1.207 0.724
Al -6.533 -3.477 2.087
Li -4.419 -2.351 1.412
```

Output
The value obtained for the total energy is -13.114 eV per cell. The value obtained for the total moment is 0.6 μB per cell.

Entry from Alexandria: crystalline Li2AlCo at its relaxed geometry (PBE).

extended XYZ file:
```
4
Lattice="-2.908 3.530 0.336 -3.684 1.698 2.139 1.847 2.648 3.486" Properties=species:S:1:pos:R:3 pbc="T T T"
Co -1.084 2.137 1.705
Li -3.469 6.014 4.618
Li -4.728 7.716 5.806
Al -2.580 3.822 2.774
```

Output
The value obtained for the total energy is -14.758 eV per cell. The value obtained for the total moment is 0.9 μB per cell.

Entry from Alexandria: crystalline LiMnAlCo at its relaxed geometry (PBE).

extended XYZ file:
```
4
Lattice="4.092 0.000 0.000 2.046 3.544 0.000 2.046 1.181 3.341" Properties=species:S:1:pos:R:3 pbc="T T T"
Li 0.000 0.000 0.000
Al 2.046 1.181 0.835
Mn 6.138 3.544 2.506
Co 4.092 2.362 1.670
```

Output
The value obtained for the total energy is -22.497 eV per cell. The value obtained for the total moment is 3.2 μB per cell.

Entry from Alexandria: crystalline LiAlCoMo at its relaxed geometry (PBE).

extended XYZ file:
```
4
Lattice="-0.935 2.892 -2.842 -3.520 -0.305 -2.198 -3.122 2.663 0.691" Properties=species:S:1:pos:R:3 pbc="T T T"
Al 0.000 0.000 0.000
Li -5.683 3.938 -3.262
Co -1.894 1.313 -1.087
Mo -3.789 2.625 -2.174
```

Output
The value obtained for the total energy is -23.904 eV per cell. The value obtained for the total moment is 1.0 μB per cell.

Entry from Alexandria: crystalline LiNbAlCo at its relaxed geometry (PBE).

extended XYZ file:
```
4
Lattice="4.218 0.000 0.000 2.109 3.653 0.000 2.109 1.218 3.444" Properties=species:S:1:pos:R:3 pbc="T T T"
Nb 2.109 1.218 0.861
Li 4.218 2.435 1.722
Al 6.327 3.653 2.583
Co 0.000 0.000 0.000
```

Output
The value obtained for the total energy is -24.218 eV per cell. The value obtained for the total moment is 0.0 μB per cell.

Entry from Alexandria: crystalline LiNdAlCo at its relaxed geometry (PBE).

extended XYZ file:
```
4
Lattice="-4.397 1.231 0.727 -3.213 -3.238 0.752 -1.868 -0.472 4.203" Properties=species:S:1:pos:R:3 pbc="T T T"
Li 0.000 0.000 0.000
Al -2.369 -0.620 1.420
Nd -7.108 -1.859 4.261
Co -4.739 -1.239 2.841
```

Output
The value obtained for the total energy is -18.027 eV per cell. The value obtained for the total moment is 0.0 μB per cell.

Entry from Alexandria: crystalline LiAlCoNi at its relaxed geometry (PBE).

extended XYZ file:
```
4
Lattice="4.002 0.000 0.000 2.001 3.466 0.000 2.001 1.155 3.268" Properties=species:S:1:pos:R:3 pbc="T T T"
Li 2.001 1.155 0.817
Co 0.000 0.000 0.000
Al 6.003 3.466 2.451
Ni 4.002 2.311 1.634
```

Output
The value obtained for the total energy is -19.618 eV per cell. The value obtained for the total moment is 0.0 μB per cell.